Entry 1:
Compound: SrYZrTi2
Source: Alexandria via LeMat-Bulk
Functional: PBE
Structure: relaxed

* magnetic moment: 0.0 μB per cell
* symmetry: P4/mmm

Lattice parameters (Å, degrees): 4.876 5.292 4.876 90.00 90.00 90.00
Fractional positions:
Sr  0.000  0.000  0.000
Y  0.000  0.500  0.000
Ti  0.000  0.000  0.500
Ti  0.500  0.000  0.000
Zr  0.500  0.500  0.500


Entry 2:
Compound: SrTi2Zn
Source: Alexandria via LeMat-Bulk
Functional: PBE
Structure: relaxed

* magnetic moment: 0.0 μB per cell
* symmetry: I-42d

Lattice parameters (Å, degrees): 4.524 4.524 10.816 77.93 77.93 90.00
Fractional positions:
Ti  0.339  0.125  0.250
Zn  0.500  0.500  0.000
Zn  0.250  0.750  0.500
Sr  0.000  0.000  0.000
Ti  0.411  0.625  0.250
Ti  0.375  0.661  0.750
Ti  0.875  0.589  0.750
Sr  0.750  0.250  0.500


Entry 3:
Compound: SrTi2Zn2
Source: Alexandria via LeMat-Bulk
Functional: PBE
Structure: relaxed

* ΔE to the lowest computed polymorph: 0 meV/atom
* magnetic moment: 3.5 μB per cell
* symmetry: P4/mbm

Lattice parameters (Å, degrees): 8.164 8.164 3.010 90.00 90.00 90.00
Fractional positions:
Zn  0.179  0.679  0.500
Ti  0.890  0.610  0.000
Sr  0.000  0.000  0.000
Ti  0.390  0.890  0.000
Zn  0.321  0.179  0.500
Zn  0.679  0.821  0.500
Sr  0.500  0.500  0.000
Ti  0.610  0.110  0.000
Zn  0.821  0.321  0.500
Ti  0.110  0.390  0.000


no.,formation energy from the elements (kJ/mol of atoms)
1,154.93
2,61.54
3,9.36